# MgBe2Si2 PBE relaxed
# uncorrected energy = -3.904 eV per atom
# total moment = 0.00 μB/cell
# symmetry = P-1
data_MgBe2Si2
_cell_length_a 3.910
_cell_length_b 5.629
_cell_length_c 7.062
_cell_angle_alpha 78.24
_cell_angle_beta 79.49
_cell_angle_gamma 71.40
_space_group_name_H-M_alt 'P 1'
_space_group_IT_number 1
_space_group_name_Hall 'P 1'
loop_
_atom_site_label
_atom_site_type_symbol
_atom_site_fract_x
_atom_site_fract_y
_atom_site_fract_z
Si1 Si 0.943 0.173 0.371
Si2 Si 0.057 0.827 0.629
Si3 Si 0.283 0.708 0.049
Si4 Si 0.717 0.292 0.951
Be1 Be 0.743 0.876 0.931
Be2 Be 0.600 0.657 0.736
Be3 Be 0.400 0.343 0.264
Be4 Be 0.257 0.124 0.069
Mg1 Mg 0.696 0.716 0.342
Mg2 Mg 0.304 0.284 0.658

# HfGe2BiH PBE relaxed
# uncorrected energy = -4.488 eV per atom
# total moment = 0.82 μB/cell
# symmetry = P4/mmm
data_HfGe2BiH
_cell_length_a 5.214
_cell_length_b 5.583
_cell_length_c 5.214
_cell_angle_alpha 90.00
_cell_angle_beta 90.00
_cell_angle_gamma 90.00
_space_group_name_H-M_alt 'P 1'
_space_group_IT_number 1
_space_group_name_Hall 'P 1'
loop_
_atom_site_label
_atom_site_type_symbol
_atom_site_fract_x
_atom_site_fract_y
_atom_site_fract_z
Hf1 Hf 0.000 0.000 0.000
H1 H 0.500 0.500 0.500
Bi1 Bi 0.000 0.500 0.000
Ge1 Ge 0.000 0.000 0.500
Ge2 Ge 0.500 0.000 0.000

# TbErCu2 PBE relaxed
# total moment = 0.00 μB/cell
# symmetry = Pm
# distance to the lowest polymorph of the same formula = 0 kJ/mol of formula units
data_TbErCu2
_cell_length_a 3.726
_cell_length_b 4.460
_cell_length_c 5.492
_cell_angle_alpha 90.00
_cell_angle_beta 110.43
_cell_angle_gamma 90.00
_space_group_name_H-M_alt 'P 1'
_space_group_IT_number 1
_space_group_name_Hall 'P 1'
loop_
_atom_site_label
_atom_site_type_symbol
_atom_site_fract_x
_atom_site_fract_y
_atom_site_fract_z
Er1 Er 0.442 0.500 0.425
Tb1 Tb 0.725 0.000 0.987
Cu1 Cu 0.008 0.000 0.560
Cu2 Cu 0.155 0.500 0.846

Question: Number 2 is which compound?
Answer: HfGe2BiH